Material: K4Np3FeO12
Method: DFT, PBE with a Hubbard U
State: relaxed

a b c (Å): 8.4161 8.4161 8.4161
angles (deg): 90.00 90.00 90.00
Closest atoms and distances in Å follow each position.
Space group Im-3m (No. 229)
Symmetry-distinct sites (fractional):
K 0.2500 0.2500 0.2500 (multiplicity 8)  12 O 2.98
Np 0.0000 0.0000 0.5000 (multiplicity 6)  6 O 2.06-2.10
Fe 0.0000 0.0000 0.0000 (multiplicity 2)  6 O 2.15
O 0.0000 0.0000 0.2551 (multiplicity 12)  1 Np 2.06, 1 Fe 2.15
O 0.0000 0.2500 0.5000 (multiplicity 12)  2 Np 2.10

## Properties
The size of the total moment is 9.0 μB per formula unit. Its uncorrected energy is -0.2882 Ha/atom. The density comes out at 6.2 g/cm3.